1.
Ce2Nd3Pb3 (PBE, optimized geometry); energy relative to the elements = -468 meV per atom; crystal system = hexagonal; spin magnetization = 6.033 μB per cell; ρ = 8.6 Mg/m³
1.0
6.5828 0.0000 0.0000
0.0000 9.4991 0.0000
0.0000 -4.7495 8.2264
Ce Nd Pb
4 6 6
Cartesian
0.0000 0.0000 5.4843
3.2914 4.7495 2.7421
0.0000 4.7495 2.7421
3.2914 0.0000 5.4843
4.9371 2.3309 0.0000
4.9371 3.5841 6.2078
4.9371 -1.1655 2.0186
1.6457 7.1682 0.0000
1.6457 1.1655 2.0186
1.6457 -3.5841 6.2078
4.9371 5.7947 0.0000
4.9371 1.8522 3.2081
4.9371 -2.8973 5.0183
1.6457 3.7044 0.0000
1.6457 2.8973 5.0183
1.6457 -1.8522 3.2081

---

2.
TlCd2InBr6 (PBE, optimized geometry); energy relative to the elements, uncorrected = -804 meV/atom; crystal system = monoclinic; spin magnetization = 0.000 μB per cell; ρ = 4.3 Mg/m³
1.0
-6.2254 -2.8068 -4.0805
-3.7476 -6.5427 6.7946
-7.3419 5.9695 3.6716
Tl Cd In Br
2 4 2 12
Cartesian
-7.7946 1.4257 3.6104
-9.5204 -4.8058 2.7753
-9.1124 -2.2862 6.7127
-4.4153 -2.0385 2.2993
-8.2026 -1.0939 -0.3270
-12.8997 -1.3416 4.0864
-5.6544 -6.0247 5.4701
-11.6606 2.6446 0.9156
-10.4248 -2.2131 8.9586
-3.0476 -2.3046 0.1016
-6.8902 -1.1670 -2.5729
-14.2674 -1.0755 6.2841
-8.5298 -4.7017 5.9461
-3.7978 -3.8010 4.1087
-8.7852 1.3216 0.4396
-13.5172 0.4209 2.2770
-12.9971 -3.7265 2.8164
-7.0814 -2.2727 1.8325
-4.3179 0.3464 3.5693
-10.2336 -1.1074 4.5532

---

3.
SbTe2N (PBE, optimized geometry); energy relative to the elements, uncorrected = 887 meV/atom; crystal system = trigonal; spin magnetization = 0.000 μB per cell; relative energy among the computed polymorphs = 150 meV per atom; ρ = 7.1 Mg/m³
1.0
-4.9220 -3.2869 8.0518
-2.1984 -2.1616 9.5055
-4.6716 -0.1051 8.8332
Sb Te N
1 2 1
Cartesian
0.0000 0.0000 0.0000
-10.4853 -4.9382 23.4661
-1.3067 -0.6154 2.9244
-5.8960 -2.7768 13.1953

---

4.
Fe3CoPd (PBE, optimized geometry); energy relative to the elements = 883 meV per atom; crystal system = cubic; spin magnetization = 10.592 μB per cell; relative energy among the computed polymorphs = 0 meV per atom; ρ = 7.0 Mg/m³
1.0
-1.2168 -3.6640 1.8598
-1.4552 -1.4296 -3.7686
3.8426 -1.7016 -0.8383
Co Fe Pd
1 3 1
Cartesian
0.0000 0.0000 0.0000
-0.7276 -0.7148 -1.8843
1.9213 -0.8508 -0.4191
-0.6084 -1.8320 0.9299
0.5853 -3.3976 -1.3736

---

5.
Nd3In3Rh2 (PBE, optimized geometry); energy relative to the elements = -607 meV per atom; crystal system = monoclinic; spin magnetization = 0.000 μB per cell; ρ = 8.0 Mg/m³
1.0
4.7208 0.0000 0.0000
0.0000 5.2433 0.0086
-2.3604 -1.5554 8.2005
Nd In Rh
3 3 2
Cartesian
0.0000 2.5754 2.7424
2.3604 1.1125 5.4668
0.0000 0.0000 0.0000
2.3604 -0.0524 2.2206
2.3604 2.6217 0.0043
0.0000 3.7403 5.9886
0.0000 -0.0366 3.5613
2.3604 3.7246 4.6479

---

6.
CdReGe2Bi (PBE, optimized geometry); energy relative to the elements = 1978 meV per atom; crystal system = tetragonal; spin magnetization = 3.741 μB per cell; ρ = 6.5 Mg/m³
1.0
-2.0081 -4.1652 -2.9722
4.6835 -2.8308 0.8029
-2.1258 -2.2252 4.5546
Re Ge Bi Cd
1 2 1 1
Cartesian
0.2748 -4.6107 1.1927
-1.0629 -1.1126 2.2773
-1.0040 -2.0826 -1.4861
0.0000 0.0000 0.0000
2.3418 -1.4154 0.4014

---

7.
MoAuS3 (PBE, optimized geometry); energy relative to the elements, uncorrected = 332 meV/atom; crystal system = cubic; spin magnetization = 0.021 μB per cell; relative energy among the computed polymorphs = 0 meV per atom; ρ = 6.3 Mg/m³
1.0
4.6824 0.0000 0.0000
0.0000 4.6824 0.0000
0.0000 0.0000 4.6824
Mo Au S
1 1 3
Cartesian
0.0000 0.0000 0.0000
2.3412 2.3412 2.3412
0.0000 2.3412 0.0000
0.0000 0.0000 2.3412
2.3412 0.0000 0.0000

---

8.
TbEr9Th2 (PBE, optimized geometry); energy relative to the elements = 33 meV per atom; crystal system = tetragonal; spin magnetization = 0.000 μB per cell; relative energy among the computed polymorphs = 0 meV per atom; ρ = 9.5 Mg/m³
1.0
4.9846 0.0000 0.0000
0.0000 4.9846 0.0000
0.0000 0.0000 14.9370
Tb Er Th
1 9 2
Cartesian
0.0000 0.0000 0.0000
2.4923 2.4923 0.0000
2.4923 2.4923 4.9739
2.4923 2.4923 9.9631
2.4923 0.0000 2.5121
2.4923 0.0000 7.4685
2.4923 0.0000 12.4249
0.0000 2.4923 2.5121
0.0000 2.4923 7.4685
0.0000 2.4923 12.4249
0.0000 0.0000 4.9931
0.0000 0.0000 9.9439

---

9.
TaBTeN2 (PBE, optimized geometry); energy relative to the elements, uncorrected = 928 meV/atom; crystal system = tetragonal; spin magnetization = 0.616 μB per cell; relative energy among the computed polymorphs = 0 meV per atom; ρ = 6.3 Mg/m³
1.0
-0.2305 -2.8485 2.7127
0.1990 -2.7223 -2.8417
5.8754 -0.0437 0.4533
N Te B Ta
2 1 1 1
Cartesian
0.0995 -1.3612 -1.4209
-0.1152 -1.4243 1.3563
2.9377 -0.0218 0.2267
2.9220 -2.8073 0.1621
0.0000 0.0000 0.0000

---

10.
DyScZnSn (PBE, optimized geometry); energy relative to the elements = -472 meV per atom; crystal system = cubic; spin magnetization = 0.000 μB per cell; ρ = 7.2 Mg/m³
1.0
5.0450 0.0000 0.0000
2.5225 4.3691 0.0000
2.5225 1.4564 4.1192
Sc Zn Sn Dy
1 1 1 1
Cartesian
5.0450 2.9127 2.0596
7.5675 4.3691 3.0894
2.5225 1.4564 1.0298
0.0000 0.0000 0.0000

---

11.
Pm3BiP2 (PBE, optimized geometry); energy relative to the elements = -983 meV per atom; crystal system = orthorhombic; spin magnetization = 0.000 μB per cell; ρ = 6.9 Mg/m³
1.0
-2.8539 -3.9243 -0.6456
1.8071 0.5767 7.0634
-8.1654 5.6707 1.6260
Pm Bi P
6 2 4
Cartesian
-1.7753 -1.9890 1.3806
-6.0518 3.9898 2.5003
-4.9790 0.2359 2.0185
-3.1604 -1.6666 5.5435
-7.4369 4.3122 6.6632
-4.2332 2.0873 6.0253
-1.8679 0.7855 3.4825
-7.3444 1.5377 4.5612
0.0000 0.0000 0.0000
-4.0827 2.8354 0.8130
-1.6739 0.0785 6.9221
-7.5383 2.2446 1.1217

---

12.
Ce3PmBi3 (PBE, optimized geometry); energy relative to the elements = -712 meV per atom; crystal system = cubic; spin magnetization = 21.884 μB per cell; relative energy among the computed polymorphs = 0 meV per atom; ρ = 8.7 Mg/m³
1.0
-1.2479 9.3463 2.1995
-7.0863 -2.3931 6.1485
6.4787 -0.8173 7.1488
Ce Pm Bi
12 4 12
Cartesian
-2.1898 6.7851 5.0631
-1.7216 5.6929 14.3780
-3.6960 5.8397 8.2911
-3.9594 -0.5967 7.7740
-0.3230 1.0682 2.6978
-1.8922 0.5186 10.6139
0.5854 -0.8167 6.8797
3.6918 1.9378 7.6866
2.2001 4.8452 9.3908
-1.2536 4.1455 10.4698
1.5461 4.8254 4.7607
-4.1209 2.5701 4.9752
1.8470 -1.4428 10.3112
2.0385 8.0149 6.5894
-0.7914 2.6170 6.6096
-6.8051 3.0827 7.4834
-5.3784 5.5219 5.5154
-6.5405 5.5594 9.8613
-1.2621 -2.3041 9.1070
-2.0868 -0.2078 5.1261
2.0221 1.6097 4.8984
-0.0241 -0.5544 13.0622
2.6246 8.0241 9.9828
0.8357 1.6730 9.2494
-1.5590 3.9674 3.5362
4.0806 5.2472 6.7568
-0.3307 5.6945 7.5174
-3.5145 2.5844 8.3676